The following is a PBE calculation of an optimized crystal structure of Pa3I7Cl, from the Alexandria database.

abc: 8.056 8.192 8.192
angles: 120.00 90.00 90.00
Last column: magnetic moment on the atom in μB.
Element x y z (fractional)
Pa  0.777  0.492  0.508  1.79
Pa  0.777  0.492  0.984  1.79
Pa  0.777  0.016  0.508  1.79
I  0.027  0.163  0.837  -0.03
I  0.027  0.163  0.325  -0.03
I  0.022  0.667  0.333  -0.02
I  0.539  0.837  0.163  -0.02
I  0.539  0.326  0.163  -0.02
I  0.539  0.837  0.674  -0.02
I  0.027  0.675  0.837  -0.03
Cl  0.562  0.333  0.667  -0.02

**SG**: P3m1
**Volume**: 468 Å³/cell
**Fermi-level density of states**: 5.27 states/eV/cell
**VASP energy**: -4.64 eV/atom
**E_form (uncorrected)**: -9.9 eV/f.u.